Record 1
The following is a DFT calculation (PBE-GGA) of a relaxed CaCdRh2 crystal.

The structure in POSCAR format:
```
CaCdRh2
1.0
4.482 0.000 0.000
0.000 2.960 0.052
0.000 1.133 5.657
Ca Rh Cd
1 2 1
Cartesian
2.241 1.023 1.427 Ca
0.000 3.884 5.528 Rh
0.000 2.255 3.035 Rh
2.241 3.070 4.282 Cd
```

Properties
volume = 18.7 A^3/atom
total moment = 0.000 Bohr magnetons per cell
E = -17.77 eV for the cell shown
calculated density = 8.0 g cm⁻³

Record 2
The following is a DFT calculation (PBE-GGA) of a relaxed CaCdRh crystal.

The structure in POSCAR format:
```
CaCdRh
1.0
-2.657 5.809 3.719
-4.054 -1.240 -0.960
1.860 -9.253 4.100
Ca Rh Cd
4 4 4
Cartesian
-0.749 1.248 1.551 Ca
-0.049 -4.692 6.268 Ca
-1.846 -3.999 3.121 Ca
-3.006 -0.685 3.739 Ca
-0.606 -1.988 5.131 Rh
-0.191 -1.456 2.688 Rh
-3.563 2.018 2.601 Rh
-1.288 -6.702 4.258 Rh
1.043 -5.809 3.099 Cd
-1.840 2.364 4.720 Cd
-1.914 -1.802 0.569 Cd
-2.938 -2.882 6.290 Cd
```

Properties
volume = 22.6 A^3/atom
total moment = 0.000 Bohr magnetons per cell
E = -45.49 eV for the cell shown
calculated density = 6.3 g cm⁻³

Record 3
The following is a DFT calculation (PBE-GGA) of a relaxed Ca5Cd2Rh crystal.

The structure in POSCAR format:
```
Ca5Cd2Rh
1.0
4.922 0.000 0.000
0.000 7.621 0.000
0.000 0.000 12.751
Ca Cd Rh
10 4 2
Cartesian
2.461 2.471 0.984 Ca
2.461 5.151 11.767 Ca
2.461 6.281 5.391 Ca
2.461 1.340 7.359 Ca
0.000 6.605 8.950 Ca
0.000 1.016 3.801 Ca
0.000 2.794 10.177 Ca
0.000 4.827 2.574 Ca
0.000 3.811 6.375 Ca
0.000 0.000 0.000 Ca
2.461 3.181 4.296 Cd
2.461 4.440 8.455 Cd
2.461 0.630 10.671 Cd
2.461 6.992 2.079 Cd
0.000 0.000 6.375 Rh
0.000 3.811 0.000 Rh
```

Properties
volume = 29.9 A^3/atom
total moment = 0.000 Bohr magnetons per cell
E = -43.06 eV for the cell shown
calculated density = 3.7 g cm⁻³

Record 4
The following is a DFT calculation (PBE-GGA) of a relaxed Ca2CdRh crystal.

The structure in POSCAR format:
```
Ca2CdRh
1.0
5.634 -0.002 0.000
2.124 5.218 0.000
-3.879 -2.608 3.145
Ca Rh Cd
2 1 1
Cartesian
0.000 0.000 0.000 Ca
1.062 2.609 1.573 Ca
2.817 -0.001 1.573 Rh
3.879 2.608 0.000 Cd
```

Properties
volume = 23.1 A^3/atom
total moment = 0.000 Bohr magnetons per cell
E = -13.11 eV for the cell shown
calculated density = 5.3 g cm⁻³

Record 5
The following is a DFT calculation (PBE-GGA) of a relaxed Ca2CdRh crystal.

The structure in POSCAR format:
```
Ca2CdRh
1.0
5.045 0.000 0.000
2.523 4.369 0.000
2.523 1.456 4.120
Ca Rh Cd
2 1 1
Cartesian
0.000 0.000 0.000 Ca
2.523 1.456 1.030 Ca
7.568 4.369 3.090 Rh
5.045 2.913 2.060 Cd
```

Properties
volume = 22.7 A^3/atom
total moment = 0.000 Bohr magnetons per cell
E = -12.91 eV for the cell shown
calculated density = 5.4 g cm⁻³

Record 6
The following is a DFT calculation (PBE-GGA) of a relaxed CaCdRh crystal.

The structure in POSCAR format:
```
CaCdRh
1.0
-1.334 -3.838 3.788
-1.612 -2.956 -4.424
2.334 -5.022 -0.577
Ca Rh Cd
2 2 2
Cartesian
-0.856 -3.759 -0.043 Ca
0.372 -5.749 -2.356 Ca
-0.915 -6.671 0.702 Rh
-0.553 -10.661 -1.797 Rh
0.113 -8.745 -3.694 Cd
-1.718 -8.147 -1.512 Cd
```

Properties
volume = 21.2 A^3/atom
total moment = 0.000 Bohr magnetons per cell
E = -22.83 eV for the cell shown
calculated density = 6.7 g cm⁻³

Question: Among the records above, which one has the lowest E?
Answer: number 2

Question: Among the records above, which one has the lowest calculated density?
Answer: Ca5Cd2Rh